[1]
! PBE-GGA Mg2CdB, relaxed; values from VASP
&SYSTEM
  ibrav = 0, nat = 4, ntyp = 3
/
ATOMIC_SPECIES
B 10.81 B.upf
Mg 24.30 Mg.upf
Cd 112.41 Cd.upf
ATOMIC_POSITIONS crystal
B 0.000 0.000 0.000
Mg 0.250 0.250 0.250
Mg 0.750 0.750 0.750
Cd 0.500 0.500 0.500
CELL_PARAMETERS angstrom
0.000 3.233 3.233
3.233 0.000 3.233
3.233 3.233 0.000
! Energy of formation   557 meV per atom
! Energy above the lowest structure with this stoichiometry   0.000 eV per atom

[2]
! PBE-GGA NaLaCdCu, relaxed; values from VASP
&SYSTEM
  ibrav = 0, nat = 4, ntyp = 4
/
ATOMIC_SPECIES
Cu 63.55 Cu.upf
Na 22.99 Na.upf
Cd 112.41 Cd.upf
La 138.91 La.upf
ATOMIC_POSITIONS crystal
Cu 0.250 0.250 0.250
Na 0.500 0.500 0.500
Cd 0.750 0.750 0.750
La 0.000 0.000 0.000
CELL_PARAMETERS angstrom
5.223 0.000 0.000
2.611 4.523 0.000
2.611 1.508 4.264
! Energy of formation   -28 meV per atom

[3]
! PBE-GGA BeNiCl, relaxed; values from VASP
&SYSTEM
  ibrav = 0, nat = 3, ntyp = 3
/
ATOMIC_SPECIES
Cl 35.45 Cl.upf
Be 9.01 Be.upf
Ni 58.69 Ni.upf
ATOMIC_POSITIONS crystal
Cl 0.377 0.377 0.000
Be 0.012 0.012 0.000
Ni 0.611 0.611 0.000
CELL_PARAMETERS angstrom
-4.115 -3.598 0.416
-0.936 -4.642 2.762
1.738 5.199 -0.042
! Energy above the lowest structure with this stoichiometry   0.625 eV per atom

[4]
This record from Alexandria via LeMat-Bulk describes SbPbBr6 after structural relaxation. The functional is PBE-GGA. Values from VASP.

```
&SYSTEM
  ibrav = 0, nat = 8, ntyp = 3
/
ATOMIC_SPECIES
Br 79.90 Br.upf
Sb 121.76 Sb.upf
Pb 207.20 Pb.upf
ATOMIC_POSITIONS crystal
Br 0.403 0.773 0.762
Br 0.939 0.597 0.238
Br 0.227 0.938 0.238
Br 0.773 0.062 0.762
Br 0.061 0.403 0.762
Br 0.597 0.227 0.238
Sb 0.000 0.000 0.000
Pb 0.500 0.500 0.500
CELL_PARAMETERS angstrom
7.108 0.010 0.011
3.547 6.166 0.015
3.544 2.050 6.554
```

[5]
! PBE-GGA SrCaAu2, relaxed; values from VASP
&SYSTEM
  ibrav = 0, nat = 8, ntyp = 3
/
ATOMIC_SPECIES
Au 196.97 Au.upf
Ca 40.08 Ca.upf
Sr 87.62 Sr.upf
ATOMIC_POSITIONS crystal
Au 0.606 0.125 0.250
Au 0.875 0.856 0.750
Au 0.144 0.625 0.250
Au 0.375 0.394 0.750
Ca 0.250 0.750 0.500
Ca 0.500 0.500 0.000
Sr 0.750 0.250 0.500
Sr 0.000 0.000 0.000
CELL_PARAMETERS angstrom
8.085 0.000 0.000
0.000 8.085 0.000
4.043 4.043 3.773
! Energy of formation   -487 meV per atom

[6]
! PBE-GGA SiTc2P, relaxed; values from VASP
&SYSTEM
  ibrav = 0, nat = 4, ntyp = 3
/
ATOMIC_SPECIES
P 30.97 P.upf
Tc 98.00 Tc.upf
Si 28.09 Si.upf
ATOMIC_POSITIONS crystal
P 0.500 0.500 0.250
Tc 0.000 0.000 0.490
Tc 0.000 0.000 0.010
Si 0.500 0.500 0.750
CELL_PARAMETERS angstrom
-2.598 0.917 0.919
0.638 -2.830 0.144
2.849 1.001 7.052
! Energy above the lowest structure with this stoichiometry   0.477 eV per atom

[7]
! PBE-GGA ZrAlNi, relaxed; values from VASP
&SYSTEM
  ibrav = 0, nat = 9, ntyp = 3
/
ATOMIC_SPECIES
Zr 91.22 Zr.upf
Ni 58.69 Ni.upf
Al 26.98 Al.upf
ATOMIC_POSITIONS crystal
Zr 0.649 0.361 0.000
Zr 0.830 0.830 0.500
Zr 0.361 0.649 0.000
Ni 0.510 0.001 0.500
Ni 0.464 0.464 0.500
Ni 0.001 0.510 0.500
Al 0.837 0.162 0.000
Al 0.186 0.186 0.000
Al 0.162 0.837 0.000
CELL_PARAMETERS angstrom
3.412 -7.728 0.000
3.412 7.728 0.000
0.000 0.000 2.885
! Energy of formation   -270 meV per atom

[8]
! PBE-GGA Mg2Ir, relaxed; values from VASP
&SYSTEM
  ibrav = 0, nat = 3, ntyp = 2
/
ATOMIC_SPECIES
Mg 24.30 Mg.upf
Ir 192.22 Ir.upf
ATOMIC_POSITIONS crystal
Mg 0.333 0.667 0.698
Mg 0.667 0.333 0.302
Ir 0.000 0.000 0.000
CELL_PARAMETERS angstrom
2.960 0.000 0.000
-1.480 2.563 0.000
0.000 0.000 6.929
! Energy of formation   -120 meV per atom

[9]
! PBE-GGA Bi2AsS, relaxed; values from VASP
&SYSTEM
  ibrav = 0, nat = 8, ntyp = 3
/
ATOMIC_SPECIES
S 32.06 S.upf
Bi 208.98 Bi.upf
As 74.92 As.upf
ATOMIC_POSITIONS crystal
S 0.500 0.500 0.000
S 0.250 0.750 0.500
Bi 0.622 0.125 0.250
Bi 0.128 0.625 0.250
Bi 0.875 0.872 0.750
Bi 0.375 0.378 0.750
As 0.000 0.000 0.000
As 0.750 0.250 0.500
CELL_PARAMETERS angstrom
7.293 0.000 0.000
0.000 7.293 0.000
3.646 3.646 4.915
! Energy above the lowest structure with this stoichiometry   0.154 eV per atom

[10]
! PBE-GGA Ti3FeNi, relaxed; values from VASP
&SYSTEM
  ibrav = 0, nat = 5, ntyp = 3
/
ATOMIC_SPECIES
Ti 47.87 Ti.upf
Fe 55.84 Fe.upf
Ni 58.69 Ni.upf
ATOMIC_POSITIONS crystal
Ti 0.000 0.000 0.500
Ti 0.000 0.500 0.000
Ti 0.500 0.000 0.000
Fe 0.500 0.500 0.500
Ni 0.000 0.000 0.000
CELL_PARAMETERS angstrom
4.439 0.000 0.000
0.000 4.439 0.000
0.000 0.000 4.439
! Energy of formation   730 meV per atom
! Energy above the lowest structure with this stoichiometry   0.299 eV per atom

[11]
! PBE-GGA PrTm6Th3, relaxed; values from VASP
&SYSTEM
  ibrav = 0, nat = 20, ntyp = 3
/
ATOMIC_SPECIES
Tm 168.93 Tm.upf
Pr 140.91 Pr.upf
Th 232.04 Th.upf
ATOMIC_POSITIONS crystal
Tm 0.250 0.143 0.907
Tm 0.250 0.115 0.276
Tm 0.750 0.857 0.093
Tm 0.750 0.648 0.308
Tm 0.250 0.352 0.692
Tm 0.250 0.613 0.899
Tm 0.750 0.387 0.101
Tm 0.250 0.865 0.510
Tm 0.750 0.885 0.724
Tm 0.750 0.135 0.490
Tm 0.250 0.396 0.289
Tm 0.750 0.604 0.711
Pr 0.750 0.115 0.696
Pr 0.250 0.885 0.304
Th 0.750 0.619 0.505
Th 0.250 0.874 0.908
Th 0.250 0.381 0.495
Th 0.750 0.385 0.895
Th 0.250 0.615 0.105
Th 0.750 0.126 0.092
CELL_PARAMETERS angstrom
-0.627 -3.236 1.164
-5.698 -2.979 -11.352
15.906 -2.252 2.313
! Energy of formation   82 meV per atom
! Energy above the lowest structure with this stoichiometry   0.049 eV per atom

[12]
! PBE-GGA Ti3Fe2Os, relaxed; values from VASP
&SYSTEM
  ibrav = 0, nat = 6, ntyp = 3
/
ATOMIC_SPECIES
Fe 55.84 Fe.upf
Os 190.23 Os.upf
Ti 47.87 Ti.upf
ATOMIC_POSITIONS crystal
Fe 0.500 0.500 0.838
Fe 0.500 0.500 0.162
Os 0.500 0.500 0.500
Ti 0.000 0.000 0.675
Ti 0.000 0.000 0.325
Ti 0.000 0.000 0.000
CELL_PARAMETERS angstrom
3.007 0.000 0.000
0.000 3.007 0.000
0.000 0.000 9.025
! Energy of formation   -497 meV per atom

[13]
! PBE-GGA CaIrPb, relaxed; values from VASP
&SYSTEM
  ibrav = 0, nat = 3, ntyp = 3
/
ATOMIC_SPECIES
Ca 40.08 Ca.upf
Pb 207.20 Pb.upf
Ir 192.22 Ir.upf
ATOMIC_POSITIONS crystal
Ca 0.500 0.500 0.500
Pb 0.000 0.000 0.000
Ir 0.750 0.750 0.750
CELL_PARAMETERS angstrom
-2.163 1.601 3.918
1.981 -0.700 4.263
1.837 3.669 2.399
! Energy of formation   -184 meV per atom

[14]
This record from Alexandria via LeMat-Bulk describes GeH2RhN after structural relaxation. The functional is PBE-GGA. Values from VASP.

```
&SYSTEM
  ibrav = 0, nat = 5, ntyp = 4
/
ATOMIC_SPECIES
H 1.01 H.upf
N 14.01 N.upf
Rh 102.91 Rh.upf
Ge 72.64 Ge.upf
ATOMIC_POSITIONS crystal
H 0.000 0.500 0.000
H 0.500 0.000 0.000
N 0.000 0.000 0.500
Rh 0.500 0.500 0.500
Ge 0.000 0.000 0.000
CELL_PARAMETERS angstrom
-2.133 -2.252 -1.003
1.782 -0.492 -2.685
2.316 -3.133 2.111
```

no.,raw total energy (eV for the cell shown)
1,-8.6
2,-11.4
3,-10.7
4,-22.5
5,-24.4
6,-31.7
7,-56.6
8,-12.4
9,-32.3
10,-34.3
11,-106.1
12,-54.8
13,-15.1
14,-22.8